i:
## AgBi2Os (PBE)

Data for a relaxed AgBi2Os crystal.

Lattice parameters (Å, degrees): 7.520 7.520 7.520 128.26 128.26 76.21
Fractional coordinates of all 8 atoms:
Ag 0.000 0.000 0.000
Ag 0.750 0.250 0.500
Bi 0.157 0.625 0.032
Bi 0.375 0.407 0.532
Bi 0.593 0.125 0.968
Bi 0.875 0.843 0.468
Os 0.250 0.750 0.500
Os 0.500 0.500 0.000

Properties
Density, g cm⁻³: 9.33

---

ii:
## AgBi2Os (PBE)

Data for a relaxed AgBi2Os crystal.

Lattice parameters (Å, degrees): 4.967 4.967 4.967 60.00 60.00 60.00
Fractional coordinates of all 4 atoms:
Ag 0.000 0.000 0.000
Bi 0.250 0.250 0.250
Bi 0.750 0.750 0.750
Os 0.500 0.500 0.500

Properties
Density, g cm⁻³: 13.73

---

Which is the most stable structure? ii is the most stable.

---

i:
## Ag2BiP (PBE)

Data for a relaxed Ag2BiP crystal.

Lattice parameters (Å, degrees): 4.922 4.922 4.922 60.00 60.00 60.00
Fractional coordinates of all 4 atoms:
Ag 0.250 0.250 0.250
Ag 0.750 0.750 0.750
Bi 0.000 0.000 0.000
P 0.500 0.500 0.500

Properties
Density, g cm⁻³: 8.98

---

ii:
## Ag2BiP (PBE)

Data for a relaxed Ag2BiP crystal.

Lattice parameters (Å, degrees): 6.198 6.198 6.198 102.71 102.71 124.06
Fractional coordinates of all 8 atoms:
Ag 0.077 0.625 0.952
Ag 0.375 0.327 0.452
Ag 0.673 0.125 0.048
Ag 0.875 0.923 0.548
Bi 0.250 0.750 0.500
Bi 0.500 0.500 0.000
P 0.000 0.000 0.000
P 0.750 0.250 0.500

Properties
Density, g cm⁻³: 8.69

---

Which is the most stable structure? ii is the most stable.

---

i:
## AgBi3P (PBE)

Data for a relaxed AgBi3P crystal.

Lattice parameters (Å, degrees): 5.454 5.454 5.454 90.00 90.00 90.00
Fractional coordinates of all 5 atoms:
Ag 0.000 0.000 0.000
Bi 0.000 0.000 0.500
Bi 0.000 0.500 0.000
Bi 0.500 0.000 0.000
P 0.500 0.500 0.500

Properties
Density, g cm⁻³: 7.84

---

ii:
## AgBi3P (PBE)

Data for a relaxed AgBi3P crystal.

Lattice parameters (Å, degrees): 5.418 5.418 5.418 90.00 90.00 90.00
Fractional coordinates of all 5 atoms:
Ag 0.000 0.000 0.000
Bi 0.000 0.500 0.500
Bi 0.500 0.000 0.500
Bi 0.500 0.500 0.000
P 0.500 0.500 0.500

Properties
Density, g cm⁻³: 8.00

---

Which is the most stable structure? ii is the most stable.

---

i:
## AgBi2P2 (PBE)

Data for a relaxed AgBi2P2 crystal.

Lattice parameters (Å, degrees): 7.613 7.613 7.613 145.82 145.82 49.12
Fractional coordinates of all 5 atoms:
Ag 0.000 0.000 0.000
Bi 0.372 0.372 0.000
Bi 0.628 0.628 0.000
P 0.250 0.750 0.500
P 0.750 0.250 0.500

Properties
Density, g cm⁻³: 7.04

---

ii:
## AgBi2P2 (PBE)

Data for a relaxed AgBi2P2 crystal.

Lattice parameters (Å, degrees): 7.723 7.723 3.964 90.00 90.00 90.00
Fractional coordinates of all 10 atoms:
Ag 0.000 0.000 0.000
Ag 0.500 0.500 0.000
Bi 0.159 0.341 0.500
Bi 0.341 0.841 0.500
Bi 0.659 0.159 0.500
Bi 0.841 0.659 0.500
P 0.167 0.667 0.000
P 0.333 0.167 0.000
P 0.667 0.833 0.000
P 0.833 0.333 0.000

Properties
Density, g cm⁻³: 8.26

---

Which is the most stable structure? ii is the most stable.

---

i:
## Ag3BiP (PBE)

Data for a relaxed Ag3BiP crystal.

Lattice parameters (Å, degrees): 4.869 4.869 4.869 90.00 90.00 90.00
Fractional coordinates of all 5 atoms:
Ag 0.000 0.000 0.500
Ag 0.000 0.500 0.000
Ag 0.500 0.000 0.000
Bi 0.500 0.500 0.500
P 0.000 0.000 0.000

Properties
Density, g cm⁻³: 8.11

---

ii:
## Ag3BiP (PBE)

Data for a relaxed Ag3BiP crystal.

Lattice parameters (Å, degrees): 5.445 5.445 5.445 90.00 90.00 90.00
Fractional coordinates of all 5 atoms:
Ag 0.000 0.000 0.500
Ag 0.000 0.500 0.000
Ag 0.500 0.000 0.000
Bi 0.000 0.000 0.000
P 0.500 0.500 0.500

Properties
Density, g cm⁻³: 5.80

---

Which is the most stable structure? i is the most stable.

---

i:
## AgBiP2S (PBE)

Data for a relaxed AgBiP2S crystal.

Lattice parameters (Å, degrees): 5.333 5.333 5.252 90.00 90.00 90.00
Fractional coordinates of all 5 atoms:
Ag 0.000 0.000 0.000
Bi 0.500 0.500 0.500
P 0.000 0.500 0.500
P 0.500 0.000 0.500
S 0.500 0.500 0.000

Properties
Density, g cm⁻³: 4.57

---

ii:
## AgBiP2S (PBE)

Data for a relaxed AgBiP2S crystal.

Lattice parameters (Å, degrees): 4.804 4.804 4.905 90.00 90.00 90.00
Fractional coordinates of all 5 atoms:
Ag 0.000 0.000 0.000
Bi 0.500 0.500 0.500
P 0.000 0.500 0.000
P 0.500 0.000 0.000
S 0.000 0.000 0.500

Properties
Density, g cm⁻³: 6.03

---

Which is the most stable structure? ii is the most stable.